No. 1
Density functional theory data (PBE) for NaSr2MgZn after structural relaxation.

Cell and atoms, written as POSCAR:
```
NaSr2MgZn
1.0
6.225 0.000 0.000
0.000 6.225 0.000
0.000 0.000 5.149
Na Sr Mg Zn
1 2 1 1
Direct
0.000 0.000 0.000
0.000 0.500 0.500
0.500 0.000 0.500
0.500 0.500 0.000
0.500 0.500 0.500
```

Results
Its crystal system is tetragonal. For the total energy, the calculation gives -7.43 eV for the cell shown. The energy of formation comes out at 0.02 eV/atom. Its space-group type is No. 123.

***

No. 2
Density functional theory data (PBE) for Ca2PbF after structural relaxation.

Cell and atoms, written as POSCAR:
```
Ca2PbF
1.0
0.000 3.759 3.759
3.759 0.000 3.759
3.759 3.759 0.000
Ca Pb F
2 1 1
Direct
0.250 0.250 0.250
0.750 0.750 0.750
0.000 0.000 0.000
0.500 0.500 0.500
```

Results
Its crystal system is cubic. The excess energy over the best structure of this formula in the dataset comes out at 0.583 eV per atom. The uncorrected formation energy is -441 kJ/mol of formula units. For the total energy, the calculation gives -14.15 eV for the cell shown. Its space-group type is No. 225.

***

No. 3
Density functional theory data (PBE) for HfTlAsBr2 after structural relaxation.

Cell and atoms, written as POSCAR:
```
HfTlAsBr2
1.0
5.444 0.000 0.000
0.000 5.444 0.000
0.000 0.000 5.470
Hf Tl As Br
1 1 1 2
Direct
0.000 0.000 0.000
0.500 0.500 0.500
0.500 0.500 0.000
0.000 0.500 0.500
0.500 0.000 0.500
```

Results
Its crystal system is tetragonal. The excess energy over the best structure of this formula in the dataset comes out at 1.348 eV per atom. The uncorrected formation energy is 370 kJ/mol of formula units. For the total energy, the calculation gives -16.48 eV for the cell shown. Its space-group type is No. 123.

***

No. 4
Density functional theory data (PBE) for CdF after structural relaxation.

Cell and atoms, written as POSCAR:
```
CdF
1.0
2.202 -4.957 0.000
2.202 4.957 0.000
0.000 0.000 3.395
Cd F
2 2
Direct
0.115 0.885 0.750
0.885 0.115 0.250
0.286 0.714 0.250
0.714 0.286 0.750
```

Results
Its crystal system is orthorhombic. The uncorrected formation energy is -313 kJ/mol of formula units. For the total energy, the calculation gives -12.06 eV for the cell shown. Its space-group type is No. 63.

***

No. 5
Density functional theory data (PBE) for ScTi2BeV after structural relaxation.

Cell and atoms, written as POSCAR:
```
ScTi2BeV
1.0
4.646 0.000 0.000
0.000 4.646 0.000
0.000 0.000 4.349
Sc Ti Be V
1 2 1 1
Direct
0.000 0.000 0.000
0.000 0.500 0.000
0.500 0.000 0.000
0.500 0.500 0.500
0.000 0.000 0.500
```

Results
Its crystal system is tetragonal. For the total energy, the calculation gives -26.96 eV for the cell shown. The energy of formation comes out at 1.60 eV/atom. Its space-group type is No. 123.

***

No. 6
Density functional theory data (PBE) for HfNb3Cr after structural relaxation.

Cell and atoms, written as POSCAR:
```
HfNb3Cr
1.0
4.858 0.000 0.000
0.000 4.858 0.000
0.000 0.000 4.858
Hf Nb Cr
1 3 1
Direct
0.000 0.000 0.000
0.000 0.000 0.500
0.000 0.500 0.000
0.500 0.000 0.000
0.500 0.500 0.500
```

Results
Its crystal system is cubic. The excess energy over the best structure of this formula in the dataset comes out at 1.438 eV per atom. For the total energy, the calculation gives -39.10 eV for the cell shown. The energy of formation comes out at 2.14 eV/atom. Its space-group type is No. 221.

***

No. 7
Density functional theory data (PBE) for Ho3TmTe after structural relaxation.

Cell and atoms, written as POSCAR:
```
Ho3TmTe
1.0
5.996 -2.866 0.000
5.996 2.866 0.000
-0.893 0.000 8.980
Ho Tm Te
6 2 2
Direct
0.059 0.059 0.341
0.139 0.139 0.956
0.375 0.375 0.362
0.625 0.625 0.638
0.861 0.861 0.044
0.941 0.941 0.659
0.419 0.419 0.851
0.581 0.581 0.149
0.214 0.214 0.631
0.786 0.786 0.369
```

Results
Its crystal system is monoclinic. The uncorrected formation energy is -157 kJ/mol of formula units. For the total energy, the calculation gives -45.94 eV for the cell shown. Its space-group type is No. 12.

***

No. 8
Density functional theory data (PBE) for PuZnTeO6 after structural relaxation.

Cell and atoms, written as POSCAR:
```
PuZnTeO6
1.0
5.586 0.000 0.000
-2.793 4.837 0.000
0.000 0.000 8.950
Pu Zn Te O
2 2 2 12
Direct
0.333 0.667 0.250
0.667 0.333 0.750
0.000 0.000 0.000
0.000 0.000 0.500
0.333 0.667 0.750
0.667 0.333 0.250
0.009 0.346 0.130
0.009 0.663 0.370
0.337 0.346 0.370
0.337 0.991 0.130
0.346 0.009 0.630
0.346 0.337 0.870
0.654 0.663 0.130
0.654 0.991 0.370
0.663 0.009 0.870
0.663 0.654 0.630
0.991 0.337 0.630
0.991 0.654 0.870
```

Results
Its crystal system is trigonal. The uncorrected formation energy is -1366 kJ/mol of formula units. For the total energy, the calculation gives -125.31 eV for the cell shown. Its space-group type is No. 163.

***

No. 9
Density functional theory data (PBE) for Sr2ZrSc after structural relaxation.

Cell and atoms, written as POSCAR:
```
Sr2ZrSc
1.0
3.510 0.000 0.000
0.000 3.510 0.000
0.000 0.000 10.905
Sr Zr Sc
2 1 1
Direct
0.000 0.000 0.242
0.000 0.000 0.758
0.500 0.500 0.000
0.500 0.500 0.500
```

Results
Its crystal system is tetragonal. The excess energy over the best structure of this formula in the dataset comes out at 0.268 eV per atom. For the total energy, the calculation gives -16.06 eV for the cell shown. The energy of formation comes out at 0.54 eV/atom. Its space-group type is No. 123.

***

No. 10
Density functional theory data (PBE) for Ba5P2NCl after structural relaxation.

Cell and atoms, written as POSCAR:
```
Ba5P2NCl
1.0
-2.609 3.958 7.966
2.609 -3.958 7.966
2.609 3.958 -7.966
Ba P N Cl
5 2 1 1
Direct
0.000 0.000 0.000
0.090 0.358 0.732
0.373 0.642 0.732
0.627 0.358 0.268
0.910 0.642 0.268
0.203 0.203 0.000
0.797 0.797 0.000
0.000 0.500 0.500
0.500 0.000 0.500
```

Results
Its crystal system is orthorhombic. The uncorrected formation energy is -855 kJ/mol of formula units. For the total energy, the calculation gives -39.46 eV for the cell shown. Its space-group type is No. 71.

***

No. 11
Density functional theory data (PBE) for La2PmNd4Sm after structural relaxation.

Cell and atoms, written as POSCAR:
```
La2PmNd4Sm
1.0
5.212 0.000 0.000
0.000 5.219 0.000
-0.033 0.000 10.444
La Pm Nd Sm
2 1 4 1
Direct
0.000 0.000 0.000
0.500 0.500 0.500
0.000 0.000 0.500
0.001 0.500 0.751
0.500 0.000 0.250
0.500 0.000 0.750
0.999 0.500 0.249
0.500 0.500 0.000
```

Results
Its crystal system is monoclinic. For the total energy, the calculation gives -38.26 eV for the cell shown. The energy of formation comes out at 0.02 eV/atom. Its space-group type is No. 10.

***

No. 12
Density functional theory data (PBE) for SiOs2Pb after structural relaxation.

Cell and atoms, written as POSCAR:
```
SiOs2Pb
1.0
-1.465 1.830 6.631
1.465 -1.830 6.631
1.465 1.830 -6.631
Si Os Pb
1 2 1
Direct
0.000 0.000 0.000
0.382 0.882 0.500
0.559 0.559 0.000
0.750 0.250 0.500
```

Results
Its crystal system is orthorhombic. The excess energy over the best structure of this formula in the dataset comes out at 0.000 eV per atom. The uncorrected formation energy is 137 kJ/mol of formula units. For the total energy, the calculation gives -30.17 eV for the cell shown. Its space-group type is No. 44.